No. 1
# CdFe2Te

A relaxed CdFe2Te crystal (GGA-PBE, the Alexandria database).

## Properties
Distance to the lowest polymorph of the same formula = 82 meV/atom
ΔE_f (raw) = 7.2 kcal/mol of atoms
SG = Cm (8)

Cell lengths 4.222, 4.222, 6.935 Å; angles 72.92, 72.92, 44.14 degrees
Site moments in Bohr magnetons follow the coordinates.
Fractional coordinates of all 4 atoms:
Te: 0.517 0.517 0.601  -0.04
Fe: 0.006 0.006 0.927  2.36
Fe: 0.748 0.748 0.806  2.25
Cd: 0.229 0.229 0.166  -0.03

No. 2
# CdFeTe

A relaxed CdFeTe crystal (GGA-PBE, the Alexandria database).

## Properties
Distance to the lowest polymorph of the same formula = 100 meV/atom
ΔE_f (raw) = 7.9 kcal/mol of atoms
SG = P3m1 (156)

Cell lengths 4.338, 4.338, 4.148 Å; angles 90.00, 90.00, 120.00 degrees
Site moments in Bohr magnetons follow the coordinates.
Fractional coordinates of all 3 atoms:
Te: 0.667 0.333 0.538  0.01
Fe: 0.333 0.667 0.439  2.52
Cd: 0.000 0.000 0.024  -0.04

No. 3
# Th3Cd3Fe

A relaxed Th3Cd3Fe crystal (GGA-PBE, the Alexandria database).

## Properties
Raw total energy = -4.980 eV/atom
SG = Fd-3m (227)

Cell lengths 10.042, 10.042, 10.042 Å; angles 60.00, 60.00, 60.00 degrees
Fractional coordinates of all 28 atoms:
Fe: 0.125 0.125 0.125
Cd: 0.625 0.125 0.625
Fe: 0.625 0.125 0.125
Cd: 0.625 0.625 0.625
Th: 0.196 0.804 0.804
Cd: 0.625 0.625 0.125
Fe: 0.125 0.625 0.125
Th: 0.196 0.196 0.804
Th: 0.804 0.196 0.804
Th: 0.054 0.446 0.446
Fe: 0.125 0.125 0.625
Th: 0.446 0.054 0.054
Th: 0.054 0.446 0.054
Th: 0.446 0.054 0.446
Cd: 0.830 0.511 0.830
Cd: 0.830 0.830 0.830
Cd: 0.420 0.420 0.739
Cd: 0.125 0.625 0.625
Cd: 0.830 0.830 0.511
Th: 0.804 0.196 0.196
Cd: 0.739 0.420 0.420
Th: 0.196 0.804 0.196
Cd: 0.511 0.830 0.830
Cd: 0.420 0.739 0.420
Th: 0.804 0.804 0.196
Th: 0.446 0.446 0.054
Cd: 0.420 0.420 0.420
Th: 0.054 0.054 0.446

Number 1: magnetic moment 4.5 μB/cell, DOS at the Fermi energy 0.816 states/eV per atom, ρ 7.2 g/cm3. Number 2: magnetic moment 2.5 μB/cell, DOS at the Fermi energy 0.946 states/eV per atom, ρ 7.3 g/cm3. Number 3: magnetic moment 0.0 μB/cell, DOS at the Fermi energy 0.857 states/eV per atom, ρ 10.1 g/cm3.